Entry from Alexandria via LeMat-Bulk: Cs2CdPbC at its PBEsol-relaxed geometry (meta-GGA SCAN).

Results
Its energy of formation is 0.86 eV per atom. The total moment comes out at 0.0 μB/f.u. For the total energy, the calculation gives -37.520 eV per atom.

abc: 7.252 7.252 4.410
angles: 90.00 90.00 90.00
Element x y z (fractional)
Cs 0.000 0.500 0.000
Cs 0.500 0.000 0.000
Cd 0.000 0.000 0.500
Pb 0.500 0.500 0.000
C 0.500 0.500 0.500